The following is a PBE+U calculation of an optimized crystal structure of InFe2O3, from Alexandria.

Cell and atoms, written as extended XYZ:
```
12
Lattice="-3.572 -1.909 -2.213 -1.078 -3.870 5.080 -0.930 5.279 1.760" Properties=species:S:1:pos:R:3 pbc="T T T"
In -4.380 -4.812 1.597
In -0.270 -0.968 1.270
Fe -3.338 -1.750 2.086
Fe -2.799 0.185 -0.454
Fe -2.781 -0.685 5.081
Fe -2.242 1.250 2.541
O -2.056 -1.922 0.163
O -2.594 -3.857 2.704
O -1.135 1.275 0.731
O -3.906 0.159 1.355
O -1.674 -0.660 3.271
O -4.445 -1.776 3.895
```

Summary:
- DOS(E_F) (states/eV/cell) = 2.14
- SG = No. 71
- uncorrected energy (eV per atom) = -5.9469